1.
ScAlCd2Te | PBE | relaxed

Summary:
E, eV per atom: -2.344
Mass density, g/cm³: 4.164
Spin magnetization, μB/cell: 0.00

Cell lengths 5.5408, 5.5125, 5.5408 Å; angles 90.00, 90.00, 90.00 degrees
Closest atoms and distances in Å follow each position.
Element x y z (fractional)
Sc: 0.0000 0.0000 0.0000  2 Al 2.76, 4 Cd 2.77
Te: 0.5000 0.5000 0.5000  8 Cd 3.91, 4 Al 3.92
Al: 0.0000 0.5000 0.0000  2 Sc 2.76
Cd: 0.0000 0.0000 0.5000  2 Sc 2.77
Cd: 0.5000 0.0000 0.0000  2 Sc 2.77



2.
Sc2AlCdTe | PBE | relaxed

Summary:
Mass density, g/cm³: 4.379
Energy above the lowest structure with this stoichiometry, eV per formula unit: 0.00
Spin magnetization, μB/cell: 0.00

Cell lengths 5.2710, 4.8714, 5.2710 Å; angles 90.00, 90.00, 90.00 degrees
Closest atoms and distances in Å follow each position.
Element x y z (fractional)
Sc: 0.0000 0.0000 0.5000  2 Al 2.64
Sc: 0.5000 0.0000 0.0000  2 Al 2.64
Te: 0.5000 0.5000 0.5000  8 Sc 3.59, 4 Cd 3.73
Al: 0.0000 0.0000 0.0000  2 Cd 2.44, 4 Sc 2.64
Cd: 0.0000 0.5000 0.0000  2 Al 2.44



3.
Sc2AlCdTe | PBE | relaxed

Summary:
Mass density, g/cm³: 4.305
Energy above the lowest structure with this stoichiometry, eV per formula unit: 0.85
Spin magnetization, μB/cell: 0.00

Cell lengths 5.3932, 4.7329, 5.3932 Å; angles 90.00, 90.00, 90.00 degrees
Closest atoms and distances in Å follow each position.
Element x y z (fractional)
Sc: 0.0000 0.0000 0.5000  2 Cd 2.70
Sc: 0.5000 0.0000 0.0000  2 Cd 2.70
Te: 0.5000 0.5000 0.5000  8 Sc 3.59, 4 Al 3.81
Al: 0.0000 0.5000 0.0000  2 Cd 2.37
Cd: 0.0000 0.0000 0.0000  2 Al 2.37



4.
ThScAlCd | PBE | relaxed

Summary:
Mass density, g/cm³: 7.105
Spin magnetization, μB/cell: 0.00
Energy of formation from the pure elements, eV per atom: -0.217

Cell lengths 5.1630, 5.1630, 5.1630 Å; angles 60.00, 60.00, 60.00 degrees
Closest atoms and distances in Å follow each position.
Element x y z (fractional)
Sc: 0.5000 0.5000 0.5000  4 Al 3.16, 4 Cd 3.16
Al: 0.7500 0.7500 0.7500  4 Sc 3.16, 4 Th 3.16
Th: 0.0000 0.0000 0.0000  4 Cd 3.16, 4 Al 3.16
Cd: 0.2500 0.2500 0.2500  4 Th 3.16, 4 Sc 3.16